(1)
CuRu2Se | Alexandria via LeMat-Bulk | meta-GGA SCAN | single point on PBEsol structure; formation energy from raw total energies = 0.5832 eV per atom; spin magnetization = 1.8 μB/f.u.
1.0
-0.9785 -1.9499 1.8450
4.0258 -1.2973 0.7640
0.3332 3.0136 3.3617
Se Ru Cu
1 2 1
Direct
0.5000 0.5000 0.0000
0.0000 0.0000 0.0000
0.5000 0.0000 0.5000
0.0000 0.5000 0.5000


(2)
CuSnRuSe2 | Alexandria via LeMat-Bulk | meta-GGA SCAN | single point on PBEsol structure; formation energy from raw total energies = 0.7648 eV per atom; spin magnetization = 2.4 μB/f.u.
1.0
4.6667 0.0000 0.0000
0.0000 4.6667 0.0000
0.0000 0.0000 4.7299
Cu Sn Se Ru
1 1 2 1
Direct
0.0000 0.0000 0.0000
0.5000 0.5000 0.5000
0.0000 0.5000 0.0000
0.5000 0.0000 0.0000
0.0000 0.0000 0.5000


(3)
Cu2SiRu | Alexandria via LeMat-Bulk | meta-GGA SCAN | single point on PBEsol structure; formation energy from raw total energies = -0.0179 eV per atom; spin magnetization = 0.0 μB/f.u.
1.0
2.6686 -0.0046 0.0000
-0.4267 4.2854 0.0000
0.0000 0.0000 4.2882
Ru Si Cu
1 1 2
Direct
0.0000 0.5000 0.5000
0.5000 0.0000 0.5000
0.3101 0.2426 0.0000
0.6899 0.7574 0.0000


Which of these has the lowest formation energy from raw total energies? Cu2SiRu


Which value of spin magnetization does entry 1 give? 1.8 μB/f.u.